Density functional theory data (GGA-PBE) for Ba3Bi2F after structural relaxation.

a b c (Å): 4.6685 25.1659 7.6409
angles (deg): 90.00 90.00 90.00
Space group Cmcm (No. 63)
Symmetry-distinct sites (fractional):
Ba 0.0000 0.0868 0.0130 x8
Ba 0.0000 0.2864 0.2500 x4
Bi 0.0000 0.3232 0.7500 x4
Bi 0.0000 0.4932 0.2500 x4
F 0.0000 0.1548 0.7500 x4

E_form (uncorrected): -1.623 eV per atom
Calculated total energy: -4.19 eV per atom
E above lowest polymorph: 0.000 eV per atom
Volume: 37.4 A^3/atom

=====

Density functional theory data (GGA-PBE) for SrLi6Mg after structural relaxation.

a b c (Å): 5.7752 5.7752 5.7752
angles (deg): 90.00 90.00 90.00
Space group Pm-3 (No. 200)
Symmetry-distinct sites (fractional):
Sr 0.0000 0.0000 0.0000 x1
Li 0.0000 0.2734 0.5000 x6
Mg 0.5000 0.5000 0.5000 x1

Calculated total energy: -1.77 eV per atom
Energy relative to the elements: 6.9 kJ/mol of atoms
E above lowest polymorph: 0.028 eV per atom
Volume: 24.1 A^3/atom

=====

Density functional theory data (GGA-PBE) for AlAs2P after structural relaxation.

a b c (Å): 3.6901 3.6901 5.6379
angles (deg): 90.00 90.00 90.00
Space group P4mm (No. 99)
Symmetry-distinct sites (fractional):
Al 0.0000 0.0000 0.0000 x1
As 0.0000 0.0000 0.5353 x1
As 0.5000 0.5000 0.4572 x1
P 0.5000 0.5000 0.0431 x1

Calculated total energy: -4.69 eV per atom
Energy relative to the elements: -7.6 kJ/mol of atoms
E above lowest polymorph: 0.000 eV per atom
Volume: 19.2 A^3/atom

=====

Density functional theory data (GGA-PBE) for SiTe after structural relaxation.

a b c (Å): 3.7398 6.0143 9.2290
angles (deg): 90.00 90.00 90.00
Space group Cmme (No. 67)
Symmetry-distinct sites (fractional):
Si 0.0000 0.2500 0.0910 x4
Te 0.0000 0.2500 0.7040 x4

E_form (uncorrected): 0.389 eV per atom
Calculated total energy: -3.89 eV per atom
Volume: 25.9 A^3/atom